# Na3Bi5S12 (PBE-GGA, relaxed)
# D(E_F), states/eV/atom: 0.22
# VASP energy, eV/atom: -3.88
# Formation energy from raw total energies, meV/atom: -233
data_Na3Bi5S12
_chemical_formula_sum 'Na12 Bi20 S48'
_symmetry_space_group_name_H-M 'P 1'
_symmetry_Int_Tables_number 1
_cell_length_a 14.336
_cell_length_b 14.336
_cell_length_c 14.336
_cell_angle_alpha 109.47
_cell_angle_beta 109.47
_cell_angle_gamma 109.47
loop_
_symmetry_equiv_pos_as_xyz
'x,y,z'
loop_
_atom_site_label
_atom_site_fract_x
_atom_site_fract_y
_atom_site_fract_z
Na1 0.125 0.250 0.375
Na2 0.125 0.375 0.750
Na3 0.250 0.375 0.125
Na4 0.250 0.875 0.625
Na5 0.375 0.125 0.250
Na6 0.375 0.750 0.125
Na7 0.625 0.250 0.875
Na8 0.625 0.875 0.750
Na9 0.750 0.125 0.375
Na10 0.750 0.625 0.875
Na11 0.875 0.625 0.250
Na12 0.875 0.750 0.625
Bi1 0.000 0.000 0.000
Bi2 0.000 0.000 0.500
Bi3 0.000 0.500 0.000
Bi4 0.000 0.500 0.500
Bi5 0.125 0.750 0.875
Bi6 0.125 0.875 0.250
Bi7 0.250 0.125 0.875
Bi8 0.250 0.625 0.375
Bi9 0.375 0.250 0.625
Bi10 0.375 0.625 0.750
Bi11 0.500 0.000 0.000
Bi12 0.500 0.000 0.500
Bi13 0.500 0.500 0.000
Bi14 0.500 0.500 0.500
Bi15 0.625 0.375 0.250
Bi16 0.625 0.750 0.375
Bi17 0.750 0.375 0.625
Bi18 0.750 0.875 0.125
Bi19 0.875 0.125 0.750
Bi20 0.875 0.250 0.125
S1 0.038 0.217 0.127
S2 0.038 0.321 0.911
S3 0.089 0.627 0.410
S4 0.089 0.962 0.679
S5 0.090 0.717 0.679
S6 0.090 0.873 0.411
S7 0.127 0.038 0.217
S8 0.127 0.589 0.910
S9 0.179 0.217 0.590
S10 0.179 0.462 0.589
S11 0.217 0.127 0.038
S12 0.217 0.590 0.179
S13 0.283 0.321 0.910
S14 0.283 0.462 0.373
S15 0.321 0.910 0.283
S16 0.321 0.911 0.038
S17 0.373 0.283 0.462
S18 0.373 0.590 0.911
S19 0.410 0.089 0.627
S20 0.410 0.821 0.783
S21 0.411 0.090 0.873
S22 0.411 0.821 0.538
S23 0.462 0.373 0.283
S24 0.462 0.589 0.179
S25 0.538 0.411 0.821
S26 0.538 0.627 0.717
S27 0.589 0.179 0.462
S28 0.589 0.910 0.127
S29 0.590 0.179 0.217
S30 0.590 0.911 0.373
S31 0.627 0.410 0.089
S32 0.627 0.717 0.538
S33 0.679 0.089 0.962
S34 0.679 0.090 0.717
S35 0.717 0.538 0.627
S36 0.717 0.679 0.090
S37 0.783 0.410 0.821
S38 0.783 0.873 0.962
S39 0.821 0.538 0.411
S40 0.821 0.783 0.410
S41 0.873 0.411 0.090
S42 0.873 0.962 0.783
S43 0.910 0.127 0.589
S44 0.910 0.283 0.321
S45 0.911 0.038 0.321
S46 0.911 0.373 0.590
S47 0.962 0.679 0.089
S48 0.962 0.783 0.873

# Rb2PuHgO5 (PBE-GGA, relaxed)
# D(E_F), states/eV/atom: 0.33
# VASP energy, eV/atom: -6.34
# Formation energy from raw total energies, meV/atom: -1743
data_Rb2PuHgO5
_chemical_formula_sum 'Rb2 Pu1 Hg1 O5'
_symmetry_space_group_name_H-M 'P 1'
_symmetry_Int_Tables_number 1
_cell_length_a 7.430
_cell_length_b 7.430
_cell_length_c 7.430
_cell_angle_alpha 145.96
_cell_angle_beta 119.02
_cell_angle_gamma 71.71
loop_
_symmetry_equiv_pos_as_xyz
'x,y,z'
loop_
_atom_site_label
_atom_site_fract_x
_atom_site_fract_y
_atom_site_fract_z
Rb1 0.248 0.248 0.000
Rb2 0.752 0.752 0.000
Pu1 0.500 0.000 0.500
Hg1 0.000 0.500 0.500
O1 0.212 0.885 0.327
O2 0.441 0.115 0.327
O3 0.500 0.500 0.000
O4 0.559 0.885 0.673
O5 0.788 0.115 0.673

# KBeCr (PBE-GGA, relaxed)
# D(E_F), states/eV/atom: 0.57
# VASP energy, eV/atom: -3.27
# ΔH_f (0 K), meV/atom: 1542
data_KBeCr
_chemical_formula_sum 'K1 Be1 Cr1'
_symmetry_space_group_name_H-M 'P 1'
_symmetry_Int_Tables_number 1
_cell_length_a 4.915
_cell_length_b 4.915
_cell_length_c 4.915
_cell_angle_alpha 60.00
_cell_angle_beta 60.00
_cell_angle_gamma 60.00
loop_
_symmetry_equiv_pos_as_xyz
'x,y,z'
loop_
_atom_site_label
_atom_site_fract_x
_atom_site_fract_y
_atom_site_fract_z
K1 0.000 0.000 0.000
Be1 0.500 0.500 0.500
Cr1 0.750 0.750 0.750